Li2AcScTl4 | GGA-PBE | relaxed

Magnetization ... 0.0 μB per cell
Calculated density ... 8.84 g/cm³
Uncorrected energy ... -26.08 eV for the cell shown
Formation energy from the elements ... -6.77 kcal/mol of atoms

abc: 4.909 4.909 10.332
angles: 76.26 76.26 60.00
Positions (direct):
Li: 0.768 0.768 0.696
Li: 0.232 0.232 0.304
Ac: 0.000 0.000 0.000
Sc: 0.500 0.500 0.500
Tl: 0.398 0.398 0.807
Tl: 0.876 0.876 0.373
Tl: 0.124 0.124 0.627
Tl: 0.602 0.602 0.193